[1]
VASP calculation (PBE-GGA) on a relaxed structure of Pu2PaRh3.

Results
The space group is No. 59. The calculation puts the raw total energy at -10.612 eV per atom. The calculated volume is 127 Å³/f.u.

Cell: 3.7533 4.2374 15.9098 Å, 90.00 90.00 90.00°
With the nearest neighbours (Å) after each atom.
Atoms (fractional coordinates):
Pu1 0.2496 0.0000 0.6800  5 Rh 2.93-2.97
Pu2 0.2496 0.0000 0.3200  5 Rh 2.93-2.97
Pu3 0.7504 0.5000 0.1800  5 Rh 2.93-2.97
Pu4 0.7504 0.5000 0.8200  5 Rh 2.93-2.97
Pa1 0.2490 0.5000 0.5000  8 Rh 2.83
Pa2 0.7510 0.0000 0.0000  8 Rh 2.83
Rh1 0.7493 0.5000 0.6334  2 Pa 2.83, 5 Pu 2.93-2.97, 2 Rh 3.00
Rh2 0.7490 0.0000 0.5000  4 Pa 2.83, 4 Rh 3.00
Rh3 0.7493 0.5000 0.3666  2 Pa 2.83, 5 Pu 2.93-2.97, 2 Rh 3.00
Rh4 0.2507 0.0000 0.1334  2 Pa 2.83, 5 Pu 2.93-2.97, 2 Rh 3.00
Rh5 0.2510 0.5000 0.0000  4 Pa 2.83, 4 Rh 3.00
Rh6 0.2507 0.0000 0.8666  2 Pa 2.83, 5 Pu 2.93-2.97, 2 Rh 3.00

[2]
VASP calculation (PBE-GGA) on a relaxed structure of Pu3Pa14Rh6.

Results
The space group is No. 156. The calculation puts the raw total energy at -9.878 eV per atom. The calculated volume is 532 Å³/f.u.

Cell: 6.8725 9.4544 9.4544 Å, 120.00 90.00 90.00°
With the nearest neighbours (Å) after each atom.
Atoms (fractional coordinates):
Pu1 0.8062 0.0000 0.0000  4 Pa 2.47-2.49
Pu2 0.2877 0.3333 0.6667  4 Pa 2.44-2.45
Pu3 0.5339 0.6667 0.3333  3 Pa 2.83
Pa1 0.0089 0.1264 0.2527  1 Pu 2.49
Pa2 0.0089 0.7473 0.8736  1 Pu 2.49
Pa3 0.0089 0.1264 0.8736  1 Pu 2.49
Pa4 0.4894 0.2096 0.4193  1 Pu 2.45
Pa5 0.4894 0.5807 0.7904  1 Pu 2.45
Pa6 0.4894 0.2096 0.7904  1 Pu 2.45
Pa7 0.4470 0.0000 0.0000  1 Pu 2.47
Pa8 0.9322 0.3333 0.6667  1 Pu 2.44
Pa9 0.7246 0.8200 0.1800  2 Rh 2.73, 2 Pu 2.83-3.00
Pa10 0.7246 0.8200 0.6399  2 Rh 2.73, 2 Pu 2.83-3.00
Pa11 0.7246 0.3601 0.1800  2 Rh 2.73, 2 Pu 2.83-3.00
Pa12 0.1825 0.5323 0.4677  3 Rh 2.69-2.98
Pa13 0.1825 0.5323 0.0646  3 Rh 2.69-2.98
Pa14 0.1825 0.9354 0.4677  3 Rh 2.69-2.98
Rh1 0.2797 0.8425 0.1575  5 Pa 2.69-3.01
Rh2 0.2797 0.8425 0.6850  5 Pa 2.69-3.01
Rh3 0.2797 0.3150 0.1575  5 Pa 2.69-3.01
Rh4 0.7602 0.4908 0.5093  6 Pa 2.73-3.00
Rh5 0.7602 0.4907 0.9815  6 Pa 2.73-3.00
Rh6 0.7602 0.0185 0.5092  6 Pa 2.73-3.00

[3]
VASP calculation (PBE-GGA) on a relaxed structure of Pu2Pa3Rh2.

Results
The space group is No. 14. The calculation puts the raw total energy at -10.532 eV per atom. The calculated volume is 156 Å³/f.u.

Cell: 6.0297 7.4185 7.0090 Å, 85.37 90.00 90.00°
With the nearest neighbours (Å) after each atom.
Atoms (fractional coordinates):
Pu1 0.1591 0.1689 0.4978  2 Pa 2.67-2.81, 2 Rh 2.80-2.81
Pu2 0.6591 0.3311 0.0022  2 Pa 2.67-2.81, 2 Rh 2.80-2.81
Pu3 0.3409 0.6689 0.9978  2 Pa 2.67-2.81, 2 Rh 2.80-2.81
Pu4 0.8409 0.8311 0.5022  2 Pa 2.67-2.81, 2 Rh 2.80-2.81
Pa1 0.5000 0.5000 0.5000  2 Rh 2.55
Pa2 0.0000 0.0000 0.0000  2 Rh 2.55
Pa3 0.9962 0.4044 0.7305  2 Pu 2.67-2.81
Pa4 0.4962 0.0956 0.7695  2 Pu 2.67-2.81
Pa5 0.5038 0.9044 0.2305  2 Pu 2.67-2.81
Pa6 0.0038 0.5956 0.2695  2 Pu 2.67-2.81
Rh1 0.7855 0.7304 0.8931  1 Pa 2.55, 2 Pu 2.80-2.81
Rh2 0.7145 0.2304 0.3931  1 Pa 2.55, 2 Pu 2.80-2.81
Rh3 0.2855 0.7696 0.6069  1 Pa 2.55, 2 Pu 2.80-2.81
Rh4 0.2145 0.2696 0.1069  1 Pa 2.55, 2 Pu 2.80-2.81

[4]
VASP calculation (PBE-GGA) on a relaxed structure of PuPaRh.

Results
The value obtained for the offset from the most stable computed form is 342 meV per atom. The space group is No. 216. The calculated volume is 76 Å³/f.u.

Cell: 4.7526 4.7526 4.7526 Å, 60.00 60.00 60.00°
With the nearest neighbours (Å) after each atom.
Atoms (fractional coordinates):
Pa1 0.5000 0.5000 0.5000  4 Rh 2.91
Rh1 0.2500 0.2500 0.2500  4 Pu 2.91, 4 Pa 2.91
Pu1 0.0000 0.0000 0.0000  4 Rh 2.91

Copy entry 2 word for word.
VASP calculation (PBE-GGA) on a relaxed structure of Pu3Pa14Rh6.

Results
The space group is No. 156. The calculation puts the raw total energy at -9.878 eV per atom. The calculated volume is 532 Å³/f.u.

Cell: 6.8725 9.4544 9.4544 Å, 120.00 90.00 90.00°
With the nearest neighbours (Å) after each atom.
Atoms (fractional coordinates):
Pu1 0.8062 0.0000 0.0000  4 Pa 2.47-2.49
Pu2 0.2877 0.3333 0.6667  4 Pa 2.44-2.45
Pu3 0.5339 0.6667 0.3333  3 Pa 2.83
Pa1 0.0089 0.1264 0.2527  1 Pu 2.49
Pa2 0.0089 0.7473 0.8736  1 Pu 2.49
Pa3 0.0089 0.1264 0.8736  1 Pu 2.49
Pa4 0.4894 0.2096 0.4193  1 Pu 2.45
Pa5 0.4894 0.5807 0.7904  1 Pu 2.45
Pa6 0.4894 0.2096 0.7904  1 Pu 2.45
Pa7 0.4470 0.0000 0.0000  1 Pu 2.47
Pa8 0.9322 0.3333 0.6667  1 Pu 2.44
Pa9 0.7246 0.8200 0.1800  2 Rh 2.73, 2 Pu 2.83-3.00
Pa10 0.7246 0.8200 0.6399  2 Rh 2.73, 2 Pu 2.83-3.00
Pa11 0.7246 0.3601 0.1800  2 Rh 2.73, 2 Pu 2.83-3.00
Pa12 0.1825 0.5323 0.4677  3 Rh 2.69-2.98
Pa13 0.1825 0.5323 0.0646  3 Rh 2.69-2.98
Pa14 0.1825 0.9354 0.4677  3 Rh 2.69-2.98
Rh1 0.2797 0.8425 0.1575  5 Pa 2.69-3.01
Rh2 0.2797 0.8425 0.6850  5 Pa 2.69-3.01
Rh3 0.2797 0.3150 0.1575  5 Pa 2.69-3.01
Rh4 0.7602 0.4908 0.5093  6 Pa 2.73-3.00
Rh5 0.7602 0.4907 0.9815  6 Pa 2.73-3.00
Rh6 0.7602 0.0185 0.5092  6 Pa 2.73-3.00

Which value of calculated volume does entry 2 give?
532 Å³/f.u.

Which of these has the lowest calculated volume?
PuPaRh

Repeat the first record exactly.
VASP calculation (PBE-GGA) on a relaxed structure of Pu2PaRh3.

Results
The space group is No. 59. The calculation puts the raw total energy at -10.612 eV per atom. The calculated volume is 127 Å³/f.u.

Cell: 3.7533 4.2374 15.9098 Å, 90.00 90.00 90.00°
With the nearest neighbours (Å) after each atom.
Atoms (fractional coordinates):
Pu1 0.2496 0.0000 0.6800  5 Rh 2.93-2.97
Pu2 0.2496 0.0000 0.3200  5 Rh 2.93-2.97
Pu3 0.7504 0.5000 0.1800  5 Rh 2.93-2.97
Pu4 0.7504 0.5000 0.8200  5 Rh 2.93-2.97
Pa1 0.2490 0.5000 0.5000  8 Rh 2.83
Pa2 0.7510 0.0000 0.0000  8 Rh 2.83
Rh1 0.7493 0.5000 0.6334  2 Pa 2.83, 5 Pu 2.93-2.97, 2 Rh 3.00
Rh2 0.7490 0.0000 0.5000  4 Pa 2.83, 4 Rh 3.00
Rh3 0.7493 0.5000 0.3666  2 Pa 2.83, 5 Pu 2.93-2.97, 2 Rh 3.00
Rh4 0.2507 0.0000 0.1334  2 Pa 2.83, 5 Pu 2.93-2.97, 2 Rh 3.00
Rh5 0.2510 0.5000 0.0000  4 Pa 2.83, 4 Rh 3.00
Rh6 0.2507 0.0000 0.8666  2 Pa 2.83, 5 Pu 2.93-2.97, 2 Rh 3.00